HfFe4Ni15 | PBE | relaxed Values from VASP.

Geometry as Quantum ESPRESSO input:
```
&SYSTEM
  ibrav = 0, nat = 20, ntyp = 3
/
ATOMIC_SPECIES
Hf 178.49 Hf.upf
Fe 55.84 Fe.upf
Ni 58.69 Ni.upf
CELL_PARAMETERS angstrom
3.5950 0.0000 0.0000
0.0000 3.5950 0.0000
0.0000 0.0000 17.7860
ATOMIC_POSITIONS crystal
Hf 0.0000 0.0000 0.0000
Fe 0.0000 0.0000 0.2070
Fe 0.0000 0.0000 0.4021
Fe 0.0000 0.0000 0.5979
Fe 0.0000 0.0000 0.7930
Ni 0.5000 0.5000 0.0000
Ni 0.5000 0.5000 0.2061
Ni 0.5000 0.5000 0.4023
Ni 0.5000 0.5000 0.5977
Ni 0.5000 0.5000 0.7939
Ni 0.5000 0.0000 0.1090
Ni 0.5000 0.0000 0.3045
Ni 0.5000 0.0000 0.5000
Ni 0.5000 0.0000 0.6955
Ni 0.5000 0.0000 0.8910
Ni 0.0000 0.5000 0.1090
Ni 0.0000 0.5000 0.3045
Ni 0.0000 0.5000 0.5000
Ni 0.0000 0.5000 0.6955
Ni 0.0000 0.5000 0.8910
```

formation energy	-158	meV/atom

InSiAg2 | PBE | relaxed Values from VASP.

Geometry as Quantum ESPRESSO input:
```
&SYSTEM
  ibrav = 0, nat = 4, ntyp = 3
/
ATOMIC_SPECIES
Ag 107.87 Ag.upf
In 114.82 In.upf
Si 28.09 Si.upf
CELL_PARAMETERS angstrom
4.1606 0.0000 0.0000
0.0000 4.1606 0.0000
0.0000 0.0000 4.3778
ATOMIC_POSITIONS crystal
Ag 0.0000 0.0000 0.0000
Ag 0.5000 0.5000 0.0000
In 0.5000 0.0000 0.5000
Si 0.0000 0.5000 0.5000
```

uncorrected formation energy	233	meV/atom

The records above give, respectively, VASP energy values of -133.68, -12.93 eV per cell.